# 1
Computed, not measured: an optimized crystal structure of ScAl2In at the PBE-GGA level of DFT.

Results
The formation energy comes out at -0.196 eV/atom. The calculation puts the total magnetization at 0.00 μB per cell. As for the total energy: -4.3343 eV/atom.

Cell lengths 4.746, 3.040, 5.638 Å; angles 89.97, 90.00, 90.00 degrees
Fractional positions:
Sc  0.500  0.750  0.764
Al  0.000  0.250  0.992
Al  0.500  0.249  0.235
In  0.000  0.252  0.509

---

# 2
Computed, not measured: an optimized crystal structure of Pu2SiGe at the PBE-GGA level of DFT.

Results
The calculation puts the total magnetization at 10.51 μB per cell. As for the total energy: -9.7605 eV/atom. Its energy relative to the elements, uncorrected is -32.6 kJ/mol of formula units.

Cell lengths 3.611, 3.611, 8.667 Å; angles 77.98, 77.98, 60.00 degrees
Each line ends with the local moment (μB).
Fractional positions:
Ge  0.500  0.500  0.500  -0.07
Si  0.000  0.000  0.000  -0.05
Pu  0.252  0.252  0.243  5.09
Pu  0.748  0.748  0.757  5.09